Entry 1:
Density functional theory data (PBE-GGA) for a geometry-optimized RbCaNi2Os structure.

Structure (POSCAR):
```
RbCaNi2Os
1.0
5.099 0.000 0.000
0.000 5.250 0.000
0.000 0.000 5.099
Ni Ca Os Rb
2 1 1 1
Direct
0.000 0.000 0.500
0.500 0.000 0.000
0.000 0.000 0.000
0.000 0.500 0.000
0.500 0.500 0.500
```

Computed properties:
Total magnetic moment = 0.584 μB per atom
E_form = 1.862 eV per atom
Symmetry = P4/mmm

***

Entry 2:
Density functional theory data (PBE-GGA) for a geometry-optimized Nd7Y2Er4 structure.

Structure (POSCAR):
```
Nd7Y2Er4
1.0
-13.539 -5.549 2.666
7.459 1.297 -5.833
1.769 -5.617 2.095
Nd Y Er
7 2 4
Direct
0.155 0.848 0.924
0.845 0.152 0.076
0.000 0.000 0.000
0.768 0.230 0.614
0.232 0.770 0.386
0.538 0.462 0.232
0.462 0.538 0.768
0.691 0.307 0.156
0.309 0.693 0.844
0.926 0.078 0.538
0.074 0.922 0.462
0.618 0.388 0.693
0.382 0.612 0.307
```

Computed properties:
Total magnetic moment = 0.000 μB per atom
E_form = 0.015 eV per atom
Symmetry = P-1

***

Entry 3:
Density functional theory data (PBE-GGA) for a geometry-optimized PmPr10Sm4 structure.

Structure (POSCAR):
```
PmPr10Sm4
1.0
7.206 0.000 3.254
3.603 8.865 1.627
-0.045 0.000 9.707
Pm Pr Sm
1 10 4
Direct
0.000 0.000 0.000
0.250 0.500 0.500
0.650 0.300 0.899
0.050 0.101 0.300
0.451 0.899 0.700
0.849 0.700 0.101
0.350 0.700 0.101
0.750 0.500 0.500
0.151 0.300 0.899
0.549 0.101 0.300
0.950 0.899 0.700
0.399 0.801 0.400
0.800 0.600 0.801
0.200 0.400 0.199
0.601 0.199 0.600
```

Computed properties:
Total magnetic moment = 0.000 μB per atom
E_form = 0.690 eV per atom
Symmetry = I4/m

***

Entry 4:
Density functional theory data (PBE-GGA) for a geometry-optimized HoErBeIn structure.

Structure (POSCAR):
```
HoErBeIn
1.0
-3.886 -1.045 3.097
0.882 -1.872 4.637
-0.825 2.880 4.100
Be In Ho Er
1 1 1 1
Direct
0.000 0.000 0.000
0.500 0.500 0.500
0.250 0.250 0.250
0.750 0.750 0.750
```

Computed properties:
Total magnetic moment = 0.000 μB per atom
E_form = -0.119 eV per atom
Symmetry = F-43m

***

Entry 5:
Density functional theory data (PBE-GGA) for a geometry-optimized AlAg2AsS4 structure.

Structure (POSCAR):
```
AlAg2AsS4
1.0
5.315 0.051 -0.122
0.055 6.239 -0.620
-2.806 -3.735 6.051
Al Ag As S
1 2 1 4
Direct
0.963 0.503 0.969
0.501 0.005 0.966
0.276 0.190 0.534
0.663 0.719 0.427
0.657 0.592 0.744
0.893 0.440 0.220
0.373 0.837 0.187
0.061 0.100 0.726
```

Computed properties:
Total magnetic moment = 0.000 μB per atom
Symmetry = P1
Energy relative to the elements, uncorrected = -355.7 meV per atom

***

Entry 6:
Density functional theory data (PBE-GGA) for a geometry-optimized AcHoTe2Se structure.

Structure (POSCAR):
```
AcHoTe2Se
1.0
4.508 0.000 0.000
0.000 4.508 0.000
0.000 0.000 15.911
Ac Ho Te Se
2 2 4 2
Direct
0.500 0.000 0.634
0.000 0.500 0.366
0.500 0.000 0.092
0.000 0.500 0.908
0.000 0.500 0.718
0.000 0.500 0.102
0.500 0.000 0.898
0.500 0.000 0.282
0.000 0.000 0.500
0.500 0.500 0.500
```

Computed properties:
Total magnetic moment = 0.000 μB per atom
Symmetry = P4/nmm
Energy relative to the elements, uncorrected = -1465.9 meV per atom

***

no.,Fermi-level density of states (states/eV/cell),calculated volume (Å³ per atom)
1,7.70,27.29
2,16.43,33.30
3,24.83,41.43
4,3.43,23.15
5,0.00,23.29
6,4.26,32.34